4
Lattice="3.832 2.103 1.356 -0.092 2.829 3.597 2.015 -1.221 3.924" Properties=species:S:1:pos:R:3 comment="LiCr2F (PBE with a Hubbard U, optimized geometry)" n_ef_per_ev_fu=0.88 polymorph_energy_ev_per_atom=0.056 m_tot_mub_per_fu=10.1 pbc="T T T"
Cr 1.439 0.928 2.219
Cr 4.317 2.784 6.657
Li 0.000 0.000 0.000
F 2.878 1.856 4.438